{
  "formula": "PaTeI2O6",
  "functional": "PBE-GGA",
  "state": "relaxed",
  "lattice_angstrom": [[0.150, -9.247, -0.485], [6.433, -4.889, -2.400], [5.207, -8.731, 1.653]],
  "species": ["I", "O", "Te", "O", "O", "Pa", "O", "I", "O", "O"],
  "frac_coords": [[0.582, 0.230, 0.582], [0.754, 0.801, 0.481], [0.500, 0.500, 0.000], [0.630, 0.774, 0.859], [0.246, 0.199, 0.519], [0.000, 0.000, 0.000], [0.370, 0.226, 0.141], [0.418, 0.770, 0.418], [0.812, 0.337, 0.914], [0.188, 0.663, 0.086]],
  "formation_energy_uncorrected_kj_per_mol_atoms": -133.7
}